This record from Alexandria via LeMat-Bulk describes Fe4PdF12 after structural relaxation. The functional is PBE with a Hubbard U.

The calculation puts the total DFT energy (no corrections) at -5.13 eV/atom. The density of states at the Fermi level is 7.32 states/eV/cell.

The structure belongs to space group C2/m (No. 12); the cell edges are 11.1784, 7.7164 and 7.8090 Å and the angles 90.00°, 133.18° and 90.00°. The inequivalent atoms are Fe at (0.2500, 0.2500, 0.0000), Fe at (0.2500, 0.2500, 0.5000), Pd at (0.0000, 0.0000, 0.0000), F at (0.0120, 0.1854, 0.8265), F at (0.1993, 0.2557, 0.7138), F at (0.2000, 0.5000, 0.9673) and F at (0.2069, 0.5000, 0.4417).